# 1
A plane-wave DFT calculation with GGA-PBE was carried out for an optimized crystal structure of GeCF.

```
GeCF
1.0
5.178 0.000 -0.010
0.000 4.120 0.000
-2.044 0.000 8.219
Ge F C
4 4 4
direct
0.213 0.000 0.448
0.787 0.000 0.552
0.213 0.500 0.948
0.787 0.500 0.052
0.859 0.000 0.774
0.141 0.500 0.726
0.859 0.500 0.274
0.141 0.000 0.226
0.500 0.161 0.000
0.500 0.839 0.000
0.500 0.661 0.500
0.500 0.339 0.500
```

Computed properties:
The space group is C2/m (12). The formation energy from raw total energies comes out at -530 meV/atom. As for the theoretical density: 3.93 g/cm³. The value obtained for the distance to the lowest polymorph of the same formula is 84 meV per atom.

# 2
A plane-wave DFT calculation with GGA-PBE was carried out for an optimized crystal structure of YTa2FeBi.

```
YTa2FeBi
1.0
5.007 0.000 0.000
0.000 5.007 0.000
0.000 0.000 5.573
Fe Ta Bi Y
1 2 1 1
direct
0.500 0.500 0.500
0.000 0.500 0.000
0.500 0.000 0.000
0.000 0.000 0.500
0.000 0.000 0.000
```

Computed properties:
The space group is P4/mmm (123). Its calculated formation energy is 2363 meV per atom. The calculation puts the density of states at the Fermi level at 1.791 states/eV/atom. As for the theoretical density: 8.50 g/cm³.

# 3
A plane-wave DFT calculation with GGA-PBE was carried out for an optimized crystal structure of TaTc3P.

```
TaTc3P
1.0
4.334 0.000 0.000
0.000 4.334 0.000
0.000 0.000 4.334
Ta Tc P
1 3 1
direct
0.500 0.500 0.500
0.000 0.000 0.500
0.500 0.000 0.000
0.000 0.500 0.000
0.000 0.000 0.000
```

Computed properties:
The space group is Pm-3m (221). Its calculated formation energy is 189 meV per atom. The calculation puts the density of states at the Fermi level at 0.345 states/eV/atom. As for the theoretical density: 10.32 g/cm³. The value obtained for the distance to the lowest polymorph of the same formula is 0 meV per atom.

# 4
A plane-wave DFT calculation with GGA-PBE was carried out for an optimized crystal structure of InMoPb2.

```
InMoPb2
1.0
5.654 0.002 0.000
1.912 5.321 0.000
-3.783 -2.661 3.252
In Pb Mo
1 2 1
direct
0.250 0.750 0.500
0.500 0.500 0.000
0.000 0.000 0.000
0.750 0.250 0.500
```

Computed properties:
The space group is I4/mmm (139). Its calculated formation energy is 662 meV per atom. The calculation puts the density of states at the Fermi level at 0.755 states/eV/atom. As for the theoretical density: 10.61 g/cm³.

# 5
A plane-wave DFT calculation with GGA-PBE was carried out for an optimized crystal structure of Te3AsCl.

```
Te3AsCl
1.0
5.447 0.000 0.000
0.000 5.447 0.000
0.000 0.000 5.447
Te Cl As
3 1 1
direct
0.500 0.000 0.000
0.000 0.500 0.000
0.000 0.000 0.500
0.500 0.500 0.500
0.000 0.000 0.000
```

Computed properties:
The space group is Pm-3m (221). The calculation puts the density of states at the Fermi level at 1.310 states/eV/atom. The formation energy from raw total energies comes out at 489 meV/atom. As for the theoretical density: 5.07 g/cm³. The value obtained for the distance to the lowest polymorph of the same formula is 601 meV per atom.

# 6
A plane-wave DFT calculation with GGA-PBE was carried out for an optimized crystal structure of CaCr2SnH.

```
CaCr2SnH
1.0
5.178 0.000 0.000
0.000 6.091 0.000
0.000 0.000 5.178
Sn Cr Ca H
1 2 1 1
direct
0.000 0.000 0.000
0.500 0.000 0.000
0.000 0.000 0.500
0.000 0.500 0.000
0.500 0.500 0.500
```

Computed properties:
The space group is P4/mmm (123). The calculation puts the density of states at the Fermi level at 0.743 states/eV/atom. As for the theoretical density: 2.68 g/cm³.

# 7
A plane-wave DFT calculation with GGA-PBE was carried out for an optimized crystal structure of CsCa2NdI8.

```
CsCa2NdI8
1.0
-0.656 -0.098 -7.777
6.336 -3.808 -0.580
-5.080 -8.566 0.525
I Ca Nd Cs
8 2 1 1
direct
0.167 0.742 0.211
0.334 0.257 0.000
0.666 0.743 0.000
0.609 0.732 0.500
0.391 0.268 0.500
0.833 0.258 0.789
0.168 0.743 0.789
0.832 0.257 0.211
0.500 0.500 0.748
0.500 0.500 0.252
0.000 0.000 0.000
0.000 0.000 0.500
```

Computed properties:
The space group is P-1 (2). The calculation puts the density of states at the Fermi level at 0.000 states/eV/atom. The formation energy from raw total energies comes out at -1469 meV/atom. As for the theoretical density: 3.95 g/cm³.

# 8
A plane-wave DFT calculation with GGA-PBE was carried out for an optimized crystal structure of Cu3PtAu2.

```
Cu3PtAu2
1.0
-0.337 3.243 -2.361
1.817 -1.596 -5.884
-6.794 -1.865 -1.592
Cu Pt Au
6 2 4
direct
0.169 0.663 0.756
0.831 0.337 0.244
0.500 0.000 0.244
0.169 0.663 0.244
0.500 0.000 0.756
0.831 0.337 0.756
0.668 0.664 0.000
0.332 0.336 0.000
0.334 0.332 0.500
0.666 0.668 0.500
0.000 0.000 0.500
0.000 0.000 0.000
```

Computed properties:
The space group is Cmmm (65). Its calculated formation energy is -101 meV per atom. The calculation puts the density of states at the Fermi level at 0.309 states/eV/atom. As for the theoretical density: 14.76 g/cm³. The value obtained for the distance to the lowest polymorph of the same formula is 0 meV per atom.

# 9
A plane-wave DFT calculation with GGA-PBE was carried out for an optimized crystal structure of CoGeRuRh.

```
CoGeRuRh
1.0
4.231 0.000 0.000
2.115 3.664 0.000
2.115 1.221 3.454
Co Rh Ru Ge
1 1 1 1
direct
0.500 0.500 0.500
0.250 0.250 0.250
0.750 0.750 0.750
0.000 0.000 0.000
```

Computed properties:
The space group is F-43m (216). Its calculated formation energy is -140 meV per atom. The calculation puts the density of states at the Fermi level at 1.318 states/eV/atom. As for the theoretical density: 10.41 g/cm³.

# 10
A plane-wave DFT calculation with GGA-PBE was carried out for an optimized crystal structure of KCaBi2Ru.

```
KCaBi2Ru
1.0
-2.022 5.310 1.186
-2.657 -2.063 4.707
4.743 1.101 3.160
Bi Ca K Ru
2 1 1 1
direct
0.500 0.000 0.000
0.000 0.000 0.500
0.000 0.000 0.000
0.000 0.500 0.000
0.500 0.500 0.500
```

Computed properties:
The space group is P4/mmm (123). Its calculated formation energy is 1149 meV per atom. The calculation puts the density of states at the Fermi level at 0.562 states/eV/atom. As for the theoretical density: 5.10 g/cm³. The value obtained for the distance to the lowest polymorph of the same formula is 1182 meV per atom.

# 11
A plane-wave DFT calculation with GGA-PBE was carried out for an optimized crystal structure of NaSrCa2Cd4.

```
NaSrCa2Cd4
1.0
-3.799 3.586 1.700
-0.946 0.660 5.371
4.656 7.879 2.661
Ca Cd Sr Na
2 4 1 1
direct
0.248 0.248 0.255
0.752 0.752 0.745
0.126 0.126 0.623
0.379 0.379 0.862
0.874 0.874 0.377
0.621 0.621 0.138
0.000 0.000 0.000
0.500 0.500 0.500
```

Computed properties:
The space group is R-3m (166). Its calculated formation energy is -247 meV per atom. The calculation puts the density of states at the Fermi level at 0.632 states/eV/atom. As for the theoretical density: 4.53 g/cm³.

# 12
A plane-wave DFT calculation with GGA-PBE was carried out for an optimized crystal structure of AcPmPr2Nd.

```
AcPmPr2Nd
1.0
-0.479 -5.853 1.519
5.137 0.631 4.050
-3.285 2.627 9.087
Nd Pr Pm Ac
2 4 2 2
direct
0.250 0.839 0.998
0.750 0.161 0.002
0.250 0.227 0.202
0.750 0.773 0.798
0.250 0.040 0.595
0.750 0.960 0.405
0.250 0.638 0.401
0.750 0.362 0.599
0.750 0.565 0.201
0.250 0.435 0.799
```

Computed properties:
The space group is P2_1/m (11). Its calculated formation energy is 40 meV per atom. The calculation puts the density of states at the Fermi level at 1.698 states/eV/atom. As for the theoretical density: 7.03 g/cm³.

# 13
A plane-wave DFT calculation with GGA-PBE was carried out for an optimized crystal structure of LiAcNd.

```
LiAcNd
1.0
-0.655 -2.801 -2.547
-2.077 -1.894 2.618
-11.290 6.509 -4.248
Li Nd Ac
2 2 2
direct
0.373 0.792 0.711
0.873 0.292 0.801
0.872 0.291 0.165
0.372 0.791 0.347
0.372 0.791 0.972
0.872 0.291 0.540
```

Computed properties:
The space group is P4/nmm (129). Its calculated formation energy is 39 meV per atom. The calculation puts the density of states at the Fermi level at 0.832 states/eV/atom. As for the theoretical density: 6.21 g/cm³. The value obtained for the distance to the lowest polymorph of the same formula is 0 meV per atom.

# 14
A plane-wave DFT calculation with GGA-PBE was carried out for an optimized crystal structure of LaSi3Ru3.

```
LaSi3Ru3
1.0
6.639 0.000 0.000
3.320 5.750 0.000
3.320 1.917 7.030
Si La Ru
6 2 6
direct
0.822 0.344 0.705
0.178 0.656 0.295
0.129 0.822 0.705
0.344 0.129 0.705
0.656 0.871 0.295
0.871 0.178 0.295
0.668 0.668 0.997
0.332 0.332 0.003
0.078 0.529 0.637
0.756 0.078 0.637
0.244 0.922 0.363
0.529 0.756 0.637
0.922 0.471 0.363
0.471 0.244 0.363
```

Computed properties:
The space group is R-3 (148). The calculation puts the density of states at the Fermi level at 0.589 states/eV/atom. The formation energy from raw total energies comes out at -363 meV/atom. As for the theoretical density: 6.51 g/cm³. The value obtained for the distance to the lowest polymorph of the same formula is 0 meV per atom.

# 15
A plane-wave DFT calculation with GGA-PBE was carried out for an optimized crystal structure of CoHgTe2.

```
CoHgTe2
1.0
-2.351 -2.390 3.867
2.712 -1.658 4.012
-0.465 2.320 4.538
Co Te Hg
1 2 1
direct
0.500 0.500 0.500
0.750 0.750 0.750
0.000 0.000 0.000
0.250 0.250 0.250
```

Computed properties:
The space group is F-43m (216). The calculation puts the density of states at the Fermi level at 1.544 states/eV/atom. The formation energy from raw total energies comes out at 711 meV/atom. As for the theoretical density: 9.01 g/cm³.

# 16
A plane-wave DFT calculation with GGA-PBE was carried out for an optimized crystal structure of LiAsCl2.

```
LiAsCl2
1.0
-0.925 0.623 -3.721
1.840 -3.289 -1.008
-4.880 -2.950 0.719
As Li Cl
1 1 2
direct
0.500 0.500 0.867
0.000 0.000 0.411
0.500 0.500 0.368
0.000 0.000 0.855
```

Computed properties:
The space group is Pmm2 (25). The calculation puts the density of states at the Fermi level at 0.228 states/eV/atom. The formation energy from raw total energies comes out at -546 meV/atom. As for the theoretical density: 2.91 g/cm³. The value obtained for the distance to the lowest polymorph of the same formula is 334 meV per atom.

# 17
A plane-wave DFT calculation with GGA-PBE was carried out for an optimized crystal structure of Np3Tl3FeSe8.

```
Np3Tl3FeSe8
1.0
-2.451 -1.318 -7.653
7.938 -0.074 1.803
-4.874 -7.241 2.809
Se Np Tl Fe
8 3 3 1
direct
0.778 0.557 0.308
0.221 0.970 0.691
0.264 0.529 0.293
0.779 0.030 0.309
0.252 0.030 0.309
0.736 0.471 0.707
0.748 0.970 0.691
0.222 0.443 0.692
0.000 0.500 0.500
0.500 0.000 0.500
0.500 0.500 0.500
0.000 0.000 0.000
0.500 0.500 0.000
0.000 0.500 0.000
0.000 0.000 0.500
```

Computed properties:
The space group is R-3m (166). The calculation puts the density of states at the Fermi level at 2.483 states/eV/atom. The formation energy from raw total energies comes out at -740 meV/atom. As for the theoretical density: 7.39 g/cm³.

# 18
A plane-wave DFT calculation with GGA-PBE was carried out for an optimized crystal structure of PaSnSe6.

```
PaSnSe6
1.0
7.577 0.000 0.000
3.789 6.562 0.000
3.789 2.187 6.187
Se Sn Pa
6 1 1
direct
0.751 0.249 0.751
0.751 0.249 0.249
0.249 0.751 0.249
0.751 0.751 0.249
0.249 0.249 0.751
0.249 0.751 0.751
0.000 0.000 0.000
0.500 0.500 0.500
```

Computed properties:
The space group is Fm-3m (225). The calculation puts the density of states at the Fermi level at 0.996 states/eV/atom. The formation energy from raw total energies comes out at -225 meV/atom. As for the theoretical density: 4.45 g/cm³.

Volume values (in Å³/atom) by entry order: 14.61 27.95 16.28 24.45 32.33 32.67 48.10 14.62 13.39 38.99 29.36 37.71 33.71 19.17 23.70 21.78 30.14 38.45.
Energy values (in eV/cell) by entry order: -69.22 -30.70 -47.41 -18.34 -13.48 -23.28 -39.65 -50.98 -28.91 -14.39 -12.64 -45.97 -21.35 -103.12 -10.85 -12.44 -93.35 -36.20.